# 1
PmIrRh3: optimized geometry, PBE.

The formation energy is 1.18 eV/f.u.

It has space group Cmcm (No. 63), with a = 6.456 Å, b = 13.692 Å, c = 4.785 Å, α = 90.00°, β = 90.00° and γ = 90.00°. The asymmetric unit holds Pm at (0.000, 0.100, 0.250), Ir at (0.000, 0.333, 0.250), Rh at (0.000, 0.500, 0.000) and Rh at (0.193, 0.277, 0.750).


# 2
PmSbIrRh: optimized geometry, PBE.

Its raw formation energy is -0.44 eV/atom.

It has space group F-43m (No. 216), with a = 6.787 Å, b = 6.787 Å, c = 6.787 Å, α = 90.00°, β = 90.00° and γ = 90.00°. The asymmetric unit holds Pm at (0.000, 0.000, 0.000), Sb at (0.000, 0.000, 0.500), Ir at (0.250, 0.250, 0.750) and Rh at (0.250, 0.250, 0.250).


# 3
Pm2Sb3IrRh4: optimized geometry, PBE.

Its raw formation energy is -0.66 eV/atom.

It has space group P-4m2 (No. 115), with a = 4.346 Å, b = 4.346 Å, c = 10.935 Å, α = 90.00°, β = 90.00° and γ = 90.00°. The asymmetric unit holds Pm at (0.000, 0.500, 0.240), Sb at (0.000, 0.000, 0.000), Sb at (0.000, 0.500, 0.635), Ir at (0.500, 0.500, 0.000), Rh at (0.000, 0.000, 0.500), Rh at (0.000, 0.500, 0.867) and Rh at (0.500, 0.500, 0.500).


# 4
PmScIrRh: optimized geometry, PBE.

The formation energy is -3.07 eV/f.u.

It has space group F-43m (No. 216), with a = 6.768 Å, b = 6.768 Å, c = 6.768 Å, α = 90.00°, β = 90.00° and γ = 90.00°. The asymmetric unit holds Pm at (0.000, 0.000, 0.000), Sc at (0.000, 0.000, 0.500), Ir at (0.250, 0.250, 0.750) and Rh at (0.250, 0.250, 0.250).


# 5
Pm3Si6IrRh2: optimized geometry, PBE.

Its raw formation energy is -0.48 eV/atom.

It has space group P-3m1 (No. 164), with a = 5.3786 Å, b = 5.3786 Å, c = 9.2558 Å, α = 90.00°, β = 90.00° and γ = 120.00°. The asymmetric unit holds Pm at (0.0000, 0.0000, 0.0000), Pm at (0.3333, 0.6667, 0.5825), Si at (0.1658, 0.3316, 0.2811), Ir at (0.0000, 0.0000, 0.5000) and Rh at (0.3333, 0.6667, 0.0859).


# 6
PmSi3IrRh: optimized geometry, PBE.

Its raw formation energy is -0.64 eV/atom.

It has space group Cmcm (No. 63), with a = 6.292 Å, b = 13.110 Å, c = 5.705 Å, α = 90.00°, β = 90.00° and γ = 90.00°. The asymmetric unit holds Pm at (0.000, 0.207, 0.250), Si at (0.000, 0.222, 0.750), Si at (0.209, 0.500, 0.000), Ir at (0.000, 0.392, 0.750) and Rh at (0.000, 0.052, 0.750).


# 7
Pm2Si4IrRh3: optimized geometry, PBE.

Its raw formation energy is -1.05 eV/atom.

It has space group P-4m2 (No. 115), with a = 4.169 Å, b = 4.169 Å, c = 9.869 Å, α = 90.00°, β = 90.00° and γ = 90.00°. The asymmetric unit holds Pm at (0.000, 0.500, 0.243), Si at (0.000, 0.000, 0.000), Si at (0.000, 0.500, 0.630), Si at (0.500, 0.500, 0.000), Ir at (0.000, 0.000, 0.500), Rh at (0.000, 0.500, 0.874) and Rh at (0.500, 0.500, 0.500).


# 8
Pm2Si3Ir4Rh: optimized geometry, PBE.

Its raw formation energy is -0.89 eV/atom.

It has space group P-4m2 (No. 115), with a = 4.159 Å, b = 4.159 Å, c = 10.177 Å, α = 90.00°, β = 90.00° and γ = 90.00°. The asymmetric unit holds Pm at (0.000, 0.500, 0.247), Si at (0.000, 0.500, 0.873), Si at (0.500, 0.500, 0.500), Ir at (0.000, 0.000, 0.000), Ir at (0.000, 0.500, 0.639), Ir at (0.500, 0.500, 0.000) and Rh at (0.000, 0.000, 0.500).


# 9
Pm3Si2IrRh9: optimized geometry, PBE.

Its raw formation energy is -0.37 eV/atom.

It has space group P-3m1 (No. 164), with a = 6.1528 Å, b = 6.1528 Å, c = 8.9199 Å, α = 90.00°, β = 90.00° and γ = 120.00°. The asymmetric unit holds Pm at (0.0000, 0.0000, 0.0000), Pm at (0.3333, 0.6667, 0.6844), Si at (0.3333, 0.6667, 0.1649), Ir at (0.0000, 0.0000, 0.5000), Rh at (0.0000, 0.5000, 0.0000) and Rh at (0.1482, 0.2964, 0.2794).


# 10
PmSmIrRh: optimized geometry, PBE.

The formation energy is -2.75 eV/f.u.

It has space group F-43m (No. 216), with a = 7.020 Å, b = 7.020 Å, c = 7.020 Å, α = 90.00°, β = 90.00° and γ = 90.00°. The asymmetric unit holds Pm at (0.000, 0.000, 0.000), Sm at (0.000, 0.000, 0.500), Ir at (0.250, 0.250, 0.250) and Rh at (0.250, 0.250, 0.750).


# 11
PmSn4IrRh2: optimized geometry, PBE.

The formation energy is -3.29 eV/f.u.

It has space group R-3m (No. 166, hexagonal axes), with a = 4.5451 Å, b = 4.5451 Å, c = 27.7513 Å, α = 90.00°, β = 90.00° and γ = 120.00°. The asymmetric unit holds Pm at (0.0000, 0.0000, 0.0000), Sn at (0.0000, 0.0000, 0.1293), Sn at (0.0000, 0.0000, 0.3955), Ir at (0.0000, 0.0000, 0.5000) and Rh at (0.0000, 0.0000, 0.2307).


# 12
Pm2Sn4Ir3Rh: optimized geometry, PBE.

The formation energy is -5.95 eV/f.u.

It has space group P-4m2 (No. 115), with a = 4.473 Å, b = 4.473 Å, c = 10.898 Å, α = 90.00°, β = 90.00° and γ = 90.00°. The asymmetric unit holds Pm at (0.000, 0.500, 0.249), Sn at (0.000, 0.000, 0.500), Sn at (0.000, 0.500, 0.870), Sn at (0.500, 0.500, 0.500), Ir at (0.000, 0.000, 0.000), Ir at (0.000, 0.500, 0.634) and Rh at (0.500, 0.500, 0.000).


Number 1: DFT total energy -6.897 eV/atom, total moment 1.532 μB per cell. Number 2: DFT total energy -6.709 eV/atom, total moment 0.000 μB per cell. Number 3: DFT total energy -6.678 eV/atom, total moment 0.000 μB per cell. Number 4: DFT total energy -7.592 eV/atom, total moment 0.000 μB per cell. Number 5: DFT total energy -6.347 eV/atom, total moment 0.000 μB per cell. Number 6: DFT total energy -6.841 eV/atom, total moment 0.000 μB per cell. Number 7: DFT total energy -7.260 eV/atom, total moment 0.000 μB per cell. Number 8: DFT total energy -7.743 eV/atom, total moment 0.000 μB per cell. Number 9: DFT total energy -7.044 eV/atom, total moment 0.003 μB per cell. Number 10: DFT total energy -7.109 eV/atom, total moment 0.000 μB per cell. Number 11: DFT total energy -5.952 eV/atom, total moment 0.000 μB per cell. Number 12: DFT total energy -6.539 eV/atom, total moment 0.000 μB per cell.